This record from Alexandria via LeMat-Bulk describes a relaxed Na2AgPdO crystal. The functional is PBE-GGA.

Output
Crystal system   tetragonal
Uncorrected formation energy   128 meV per atom
Size of the total moment   0.000 μB/atom
Energy   -3.0001 eV/atom

a b c (Å): 5.574 3.881 5.574
angles (deg): 90.00 90.00 90.00
Element x y z (fractional)
O (0.000, 0.500, 0.000)
Na (0.000, 0.000, 0.500)
Na (0.500, 0.000, 0.000)
Pd (0.500, 0.500, 0.500)
Ag (0.000, 0.000, 0.000)


This record from Alexandria via LeMat-Bulk describes a relaxed La2Hg crystal. The functional is PBE-GGA.

Output
Crystal system   cubic
Size of the total moment   0.007 μB/atom
Energy   -3.4933 eV/atom

a b c (Å): 7.674 7.674 7.674
angles (deg): 90.00 90.00 90.00
Element x y z (fractional)
Hg (0.000, 0.000, 0.000)
Hg (0.500, 0.500, 0.000)
Hg (0.500, 0.000, 0.500)
Hg (0.000, 0.500, 0.500)
La (0.347, 0.347, 0.347)
La (0.653, 0.653, 0.653)
La (0.847, 0.153, 0.653)
La (0.153, 0.847, 0.347)
La (0.653, 0.847, 0.153)
La (0.347, 0.153, 0.847)
La (0.153, 0.653, 0.847)
La (0.847, 0.347, 0.153)


This record from Alexandria via LeMat-Bulk describes a relaxed NaPaNiS4 crystal. The functional is PBE-GGA.

Output
Crystal system   monoclinic
Uncorrected formation energy   -1105 meV per atom
Size of the total moment   0.109 μB/atom
Energy   -5.8341 eV/atom

a b c (Å): 6.620 5.522 8.346
angles (deg): 90.00 107.64 90.00
Last column: magnetic moment on the atom in μB.
Element x y z (fractional)
Na (0.711, 0.750, 0.944)  0.00
Na (0.289, 0.250, 0.056)  0.00
Pa (0.733, 0.750, 0.438)  0.02
Pa (0.267, 0.250, 0.562)  0.02
Ni (0.233, 0.750, 0.322)  0.47
Ni (0.767, 0.250, 0.678)  0.47
S (0.022, 0.514, 0.720)  0.03
S (0.978, 0.014, 0.280)  0.03
S (0.978, 0.486, 0.280)  0.03
S (0.022, 0.986, 0.720)  0.03
S (0.435, 0.750, 0.152)  0.06
S (0.565, 0.250, 0.848)  0.06
S (0.424, 0.750, 0.589)  0.04
S (0.576, 0.250, 0.411)  0.04


This record from Alexandria via LeMat-Bulk describes a relaxed Rh3Br crystal. The functional is PBE-GGA.

Output
Crystal system   tetragonal
Uncorrected formation energy   686 meV per atom
Size of the total moment   0.209 μB/atom
Energy   -5.2462 eV/atom

a b c (Å): 4.693 4.693 4.693
angles (deg): 127.89 127.89 76.81
Last column: magnetic moment on the atom in μB.
Element x y z (fractional)
Rh (0.250, 0.750, 0.500)  0.26
Rh (0.500, 0.500, 0.000)  0.29
Rh (0.750, 0.250, 0.500)  0.26
Br (0.000, 0.000, 0.000)  0.02